Tl2In2Sn | PBE-GGA | relaxed

M_tot = 0.0 Bohr magnetons per cell
Total DFT energy (no corrections) = -14.03 eV for the cell shown
Crystal system = monoclinic
Calculated volume = 28.984 Å³ per atom
Formation energy from the elements = 0.036 eV/atom
Fermi-level density of states = 2.88 states/eV per cell
E above lowest polymorph = 0.006 eV per atom

Unit cell a=5.308 b=3.325 c=8.577 alpha=90.00 beta=106.78 gamma=90.00
Fractional coordinates of all 5 atoms:
Tl 0.107 0.000 0.208
Tl 0.893 0.000 0.792
In 0.299 0.500 0.603
In 0.701 0.500 0.397
Sn 0.500 0.500 0.000